Density functional theory data (PBE) for crystalline Li9Tl4Pd11 at its relaxed geometry.

a b c (Å): 11.7045 11.7045 3.0060
angles (deg): 90.00 90.00 109.62
Last column: nearest neighbours and their distance in Å.
Fractional coordinates of all 24 atoms:
Li 0.0000 0.0000 0.0000  4 Tl 2.88, 4 Pd 2.88, 2 Li 3.01
Li 0.1211 0.6604 0.0000  6 Pd 2.64-2.87, 1 Tl 2.81, 1 Li 2.95
Li 0.3048 0.4931 0.0000  8 Pd 2.68-2.73, 1 Li 2.73
Li 0.3396 0.8789 0.0000  6 Pd 2.64-2.87, 1 Tl 2.81, 1 Li 2.95
Li 0.4931 0.3048 0.0000  8 Pd 2.68-2.73, 1 Li 2.73
Li 0.5069 0.6952 0.0000  8 Pd 2.68-2.73, 1 Li 2.73
Li 0.6604 0.1211 0.0000  6 Pd 2.64-2.87, 1 Tl 2.81, 1 Li 2.95
Li 0.6952 0.5069 0.0000  8 Pd 2.68-2.73, 1 Li 2.73
Li 0.8789 0.3396 0.0000  6 Pd 2.64-2.87, 1 Tl 2.81, 1 Li 2.95
Tl 0.0805 0.2609 0.0000  3 Li 2.81-3.08, 6 Pd 2.81-2.85, 2 Tl 3.01
Tl 0.2609 0.0805 0.0000  3 Li 2.81-3.08, 6 Pd 2.81-2.85, 2 Tl 3.01
Tl 0.7391 0.9195 0.0000  3 Li 2.81-3.08, 6 Pd 2.81-2.85, 2 Tl 3.01
Tl 0.9195 0.7391 0.0000  3 Li 2.81-3.08, 6 Pd 2.81-2.85, 2 Tl 3.01
Pd 0.1048 0.4706 0.5000  4 Li 2.64-2.72, 2 Pd 2.76-2.86, 2 Tl 2.81
Pd 0.1285 0.8715 0.5000  4 Tl 2.85, 6 Li 2.87-2.88, 2 Pd 3.01
Pd 0.2957 0.2957 0.5000  4 Li 2.73, 3 Pd 2.76-3.01, 4 Tl 2.84
Pd 0.3146 0.6854 0.5000  8 Li 2.65-2.68, 2 Pd 2.86
Pd 0.4706 0.1048 0.5000  4 Li 2.64-2.72, 2 Pd 2.76-2.86, 2 Tl 2.81
Pd 0.5000 0.5000 0.5000  8 Li 2.71, 4 Pd 2.76-3.01
Pd 0.5294 0.8952 0.5000  4 Li 2.64-2.72, 2 Pd 2.76-2.86, 2 Tl 2.81
Pd 0.6854 0.3146 0.5000  8 Li 2.65-2.68, 2 Pd 2.86
Pd 0.7043 0.7043 0.5000  4 Li 2.73, 3 Pd 2.76-3.01, 4 Tl 2.84
Pd 0.8715 0.1285 0.5000  4 Tl 2.85, 6 Li 2.87-2.88, 2 Pd 3.01
Pd 0.8952 0.5294 0.5000  4 Li 2.64-2.72, 2 Pd 2.76-2.86, 2 Tl 2.81

Output
- Electronic total energy: -3.813 eV per atom
- Mass density: 8.78 Mg/m³
- Space-group type: Cmmm, No. 65
- Density of states at the Fermi level: 7.38 states/eV per cell